Crystalline Sr2Al2Cd at its relaxed geometry, computed with PBE.

The structure in POSCAR format:
```
Sr2Al2Cd
1.0
-2.5425 2.5425 6.6445
2.5425 -2.5425 6.6445
2.5425 2.5425 -6.6445
Sr Al Cd
2 2 1
Direct
0.2500 0.7500 0.5000 Sr
0.7500 0.2500 0.5000 Sr
0.0925 0.0925 0.0000 Al
0.9075 0.9075 0.0000 Al
0.5000 0.5000 0.0000 Cd
```

SG: No. 139

Crystalline SrAl2Cd at its relaxed geometry, computed with PBE.

The structure in POSCAR format:
```
SrAl2Cd
1.0
1.7318 0.9999 9.8925
-1.7318 0.9999 9.8925
0.0000 -1.9997 9.8925
Sr Al Cd
1 2 1
Direct
0.0000 0.0000 0.0000 Sr
0.2408 0.2408 0.2408 Al
0.7592 0.7592 0.7592 Al
0.5000 0.5000 0.5000 Cd
```

SG: No. 166

Crystalline Sr3AlCd3 at its relaxed geometry, computed with PBE.

The structure in POSCAR format:
```
Sr3AlCd3
1.0
6.0230 -2.3907 0.0000
6.0230 2.3907 0.0000
-5.6381 0.0000 15.7953
Sr Al Cd
6 2 6
Direct
0.0361 0.0361 0.3912 Sr
0.1033 0.1033 0.9186 Sr
0.2570 0.2570 0.2385 Sr
0.7430 0.7430 0.7615 Sr
0.8967 0.8967 0.0814 Sr
0.9639 0.9639 0.6088 Sr
0.2549 0.2549 0.6026 Al
0.7451 0.7451 0.3974 Al
0.3586 0.3586 0.4592 Cd
0.3927 0.3927 0.9202 Cd
0.4488 0.4488 0.7588 Cd
0.5512 0.5512 0.2412 Cd
0.6073 0.6073 0.0798 Cd
0.6414 0.6414 0.5408 Cd
```

SG: No. 12

Crystalline SrAl2Cd at its relaxed geometry, computed with PBE.

The structure in POSCAR format:
```
SrAl2Cd
1.0
4.5953 0.0000 0.0000
0.0000 4.5953 0.0000
0.0000 0.0000 4.6184
Sr Al Cd
1 2 1
Direct
0.0000 0.0000 0.0000 Sr
0.0000 0.5000 0.5000 Al
0.5000 0.0000 0.5000 Al
0.5000 0.5000 0.0000 Cd
```

SG: No. 123

no.,calculated volume (Å³/cell),ΔE_f (eV/atom)
1,171.8,0.28
2,102.8,0.24
3,454.9,-0.28
4,97.5,0.00